No. 1
Computed, not measured: an optimized crystal structure of CaLa2FeHg at the PBE-GGA level of DFT.

a b c (Å): 5.075 5.075 5.744
angles (deg): 90.00 90.00 90.00
Positions (direct):
Fe 0.000 0.000 0.000
Ca 0.000 0.000 0.500
Hg 0.500 0.500 0.500
La 0.000 0.500 0.000
La 0.500 0.000 0.000

Results
total DFT energy (no corrections): -4.2014 eV/atom
SG: P4/mmm

***

No. 2
Computed, not measured: an optimized crystal structure of ZrS2ClO at the PBE-GGA level of DFT.

a b c (Å): 5.225 4.027 5.225
angles (deg): 90.00 90.00 90.00
Each line ends with the local moment (μB).
Positions (direct):
S 0.000 0.000 0.500  0.73
S 0.500 0.000 0.000  0.64
O 0.000 0.500 0.000  0.14
Zr 0.000 0.000 0.000  -0.06
Cl 0.500 0.500 0.500  0.60

Results
polymorph energy (0 for the lowest one): 0 meV/atom
E_form (uncorrected): -719.3 meV/atom
SG: P4/mmm

***

No. 3
Computed, not measured: an optimized crystal structure of Fe3ReN at the PBE-GGA level of DFT.

a b c (Å): 4.485 4.485 4.485
angles (deg): 90.00 90.00 90.00
Each line ends with the local moment (μB).
Positions (direct):
Re 0.000 0.000 0.000  -0.37
Fe 0.000 0.500 0.000  1.99
Fe 0.000 0.000 0.500  2.12
Fe 0.500 0.000 0.000  1.70
N 0.500 0.500 0.500  1.03

Results
polymorph energy (0 for the lowest one): 2310 meV/atom
E_form (uncorrected): 2516.6 meV/atom
SG: Pm-3m

***

No. 4
Computed, not measured: an optimized crystal structure of TaPNO2 at the PBE-GGA level of DFT.

a b c (Å): 3.806 3.806 5.417
angles (deg): 90.00 90.00 90.00
Each line ends with the local moment (μB).
Positions (direct):
P 0.000 0.000 0.500  -0.30
N 0.500 0.500 0.500  1.12
O 0.000 0.500 0.000  -0.01
O 0.500 0.000 0.000  -0.01
Ta 0.000 0.000 0.000  0.01

Results
E_form (uncorrected): -389.9 meV/atom
SG: P4/mmm

***

No. 5
Computed, not measured: an optimized crystal structure of CrIn2I at the PBE-GGA level of DFT.

a b c (Å): 5.426 5.426 10.266
angles (deg): 74.68 74.68 90.00
Each line ends with the local moment (μB).
Positions (direct):
I 0.000 0.000 0.000  0.05
I 0.750 0.250 0.500  0.05
Cr 0.500 0.500 0.000  3.99
Cr 0.250 0.750 0.500  3.99
In 0.523 0.125 0.250  0.01
In 0.227 0.625 0.250  0.01
In 0.375 0.477 0.750  0.01
In 0.875 0.773 0.750  0.00

Results
polymorph energy (0 for the lowest one): 0 meV/atom
E_form (uncorrected): 496.0 meV/atom
SG: I-42d